1.
Tm5InCo4 after structural relaxation, computed with PBE.

Cell and atoms, written as CIF:
```
data_Tm5InCo4
_symmetry_space_group_name_H-M 'P 1'
_symmetry_Int_Tables_number 1
_symmetry_space_group_name_Hall 'P 1'
_cell_length_a 3.305
_cell_length_b 3.305
_cell_length_c 17.806
_cell_angle_alpha 90.00
_cell_angle_beta 90.00
_cell_angle_gamma 90.00
loop_
_atom_site_label
_atom_site_type_symbol
_atom_site_fract_x
_atom_site_fract_y
_atom_site_fract_z
Tm1 Tm 0.000 0.000 0.000
Tm2 Tm 0.000 0.000 0.184
Tm3 Tm 0.000 0.000 0.367
Tm4 Tm 0.000 0.000 0.633
Tm5 Tm 0.000 0.000 0.816
In1 In 0.500 0.500 0.500
Co1 Co 0.500 0.500 0.092
Co2 Co 0.500 0.500 0.279
Co3 Co 0.500 0.500 0.721
Co4 Co 0.500 0.500 0.908
```

Properties
**Energy relative to the elements**: -0.28 eV per atom
**Calculated total energy**: -5.628 eV/atom
**Total moment**: 0.166 μB/atom
**SG**: P4/mmm (123)

---

2.
TbBe2H6 after structural relaxation, computed with PBE.

Cell and atoms, written as CIF:
```
data_TbBe2H6
_symmetry_space_group_name_H-M 'P 1'
_symmetry_Int_Tables_number 1
_symmetry_space_group_name_Hall 'P 1'
_cell_length_a 4.788
_cell_length_b 4.788
_cell_length_c 4.788
_cell_angle_alpha 60.00
_cell_angle_beta 60.00
_cell_angle_gamma 60.00
loop_
_atom_site_label
_atom_site_type_symbol
_atom_site_fract_x
_atom_site_fract_y
_atom_site_fract_z
Tb1 Tb 0.000 0.000 0.000
Be1 Be 0.250 0.250 0.250
Be2 Be 0.750 0.750 0.750
H1 H 0.303 0.303 0.697
H2 H 0.303 0.697 0.303
H3 H 0.303 0.697 0.697
H4 H 0.697 0.303 0.303
H5 H 0.697 0.303 0.697
H6 H 0.697 0.697 0.303
```

Properties
**Calculated total energy**: -2.664 eV/atom
**Total moment**: 0.000 μB/atom
**SG**: Fm-3m (225)

---

3.
HoTh3 after structural relaxation, computed with PBE.

Cell and atoms, written as CIF:
```
data_HoTh3
_symmetry_space_group_name_H-M 'P 1'
_symmetry_Int_Tables_number 1
_symmetry_space_group_name_Hall 'P 1'
_cell_length_a 6.184
_cell_length_b 6.184
_cell_length_c 6.184
_cell_angle_alpha 132.02
_cell_angle_beta 132.02
_cell_angle_gamma 70.19
loop_
_atom_site_label
_atom_site_type_symbol
_atom_site_fract_x
_atom_site_fract_y
_atom_site_fract_z
Ho1 Ho 0.000 0.000 0.000
Th1 Th 0.250 0.750 0.500
Th2 Th 0.500 0.500 0.000
Th3 Th 0.750 0.250 0.500
```

Properties
**Energy relative to the elements**: 0.04 eV per atom
**Calculated total energy**: -6.665 eV/atom
**Total moment**: 0.000 μB/atom
**Offset from the most stable computed form**: 4.1 meV per atom
**SG**: I4/mmm (139)

---

4.
Ac2CuSn6 after structural relaxation, computed with PBE.

Cell and atoms, written as CIF:
```
data_Ac2CuSn6
_symmetry_space_group_name_H-M 'P 1'
_symmetry_Int_Tables_number 1
_symmetry_space_group_name_Hall 'P 1'
_cell_length_a 4.646
_cell_length_b 12.428
_cell_length_c 12.428
_cell_angle_alpha 21.36
_cell_angle_beta 90.00
_cell_angle_gamma 90.00
loop_
_atom_site_label
_atom_site_type_symbol
_atom_site_fract_x
_atom_site_fract_y
_atom_site_fract_z
Ac1 Ac 0.000 0.000 0.000
Ac2 Ac 0.000 0.335 0.335
Cu1 Cu 0.500 0.556 0.556
Sn1 Sn 0.000 0.611 0.611
Sn2 Sn 0.000 0.729 0.729
Sn3 Sn 0.500 0.111 0.111
Sn4 Sn 0.500 0.230 0.230
Sn5 Sn 0.500 0.450 0.450
Sn6 Sn 0.500 0.875 0.875
```

Properties
**Energy relative to the elements**: -0.45 eV per atom
**Calculated total energy**: -4.484 eV/atom
**Total moment**: 0.000 μB/atom
**Offset from the most stable computed form**: 0.0 meV per atom
**SG**: Amm2 (38)

---

5.
AcTb7Nd3 after structural relaxation, computed with PBE.

Cell and atoms, written as CIF:
```
data_AcTb7Nd3
_symmetry_space_group_name_H-M 'P 1'
_symmetry_Int_Tables_number 1
_symmetry_space_group_name_Hall 'P 1'
_cell_length_a 7.175
_cell_length_b 7.175
_cell_length_c 8.831
_cell_angle_alpha 90.00
_cell_angle_beta 90.00
_cell_angle_gamma 120.00
loop_
_atom_site_label
_atom_site_type_symbol
_atom_site_fract_x
_atom_site_fract_y
_atom_site_fract_z
Ac1 Ac 0.000 0.000 0.000
Tb1 Tb 0.002 0.501 0.999
Tb2 Tb 0.333 0.667 0.321
Tb3 Tb 0.334 0.167 0.328
Tb4 Tb 0.499 0.501 0.999
Tb5 Tb 0.499 0.998 0.999
Tb6 Tb 0.833 0.167 0.328
Tb7 Tb 0.833 0.666 0.328
Nd1 Nd 0.168 0.336 0.657
Nd2 Nd 0.168 0.832 0.657
Nd3 Nd 0.664 0.832 0.657
```

Properties
**Energy relative to the elements**: 0.19 eV per atom
**Calculated total energy**: -4.426 eV/atom
**Total moment**: 0.000 μB/atom
**Offset from the most stable computed form**: 0.0 meV per atom
**SG**: P3m1 (156)

---

6.
LaIn3 after structural relaxation, computed with PBE.

Cell and atoms, written as CIF:
```
data_LaIn3
_symmetry_space_group_name_H-M 'P 1'
_symmetry_Int_Tables_number 1
_symmetry_space_group_name_Hall 'P 1'
_cell_length_a 10.998
_cell_length_b 10.998
_cell_length_c 10.998
_cell_angle_alpha 18.21
_cell_angle_beta 18.21
_cell_angle_gamma 18.21
loop_
_atom_site_label
_atom_site_type_symbol
_atom_site_fract_x
_atom_site_fract_y
_atom_site_fract_z
La1 La 0.000 0.000 0.000
In1 In 0.246 0.246 0.246
In2 In 0.500 0.500 0.500
In3 In 0.754 0.754 0.754
```

Properties
**Energy relative to the elements**: -0.14 eV per atom
**Calculated total energy**: -3.429 eV/atom
**Total moment**: 0.000 μB/atom
**SG**: R-3m (166)

---

7.
BaTh3 after structural relaxation, computed with PBE.

Cell and atoms, written as CIF:
```
data_BaTh3
_symmetry_space_group_name_H-M 'P 1'
_symmetry_Int_Tables_number 1
_symmetry_space_group_name_Hall 'P 1'
_cell_length_a 6.367
_cell_length_b 6.367
_cell_length_c 6.367
_cell_angle_alpha 131.80
_cell_angle_beta 131.80
_cell_angle_gamma 70.55
loop_
_atom_site_label
_atom_site_type_symbol
_atom_site_fract_x
_atom_site_fract_y
_atom_site_fract_z
Ba1 Ba 0.000 0.000 0.000
Th1 Th 0.250 0.750 0.500
Th2 Th 0.500 0.500 0.000
Th3 Th 0.750 0.250 0.500
```

Properties
**Energy relative to the elements**: 0.39 eV per atom
**Calculated total energy**: -5.659 eV/atom
**Total moment**: 0.000 μB/atom
**SG**: I4/mmm (139)

---

8.
HgPb3O3 after structural relaxation, computed with PBE.

Cell and atoms, written as CIF:
```
data_HgPb3O3
_symmetry_space_group_name_H-M 'P 1'
_symmetry_Int_Tables_number 1
_symmetry_space_group_name_Hall 'P 1'
_cell_length_a 9.610
_cell_length_b 9.610
_cell_length_c 9.610
_cell_angle_alpha 44.13
_cell_angle_beta 44.13
_cell_angle_gamma 44.13
loop_
_atom_site_label
_atom_site_type_symbol
_atom_site_fract_x
_atom_site_fract_y
_atom_site_fract_z
Hg1 Hg 0.167 0.167 0.167
Hg2 Hg 0.833 0.833 0.833
Pb1 Pb 0.057 0.704 0.401
Pb2 Pb 0.296 0.599 0.943
Pb3 Pb 0.401 0.057 0.704
Pb4 Pb 0.599 0.943 0.296
Pb5 Pb 0.704 0.401 0.057
Pb6 Pb 0.943 0.296 0.599
O1 O 0.033 0.592 0.280
O2 O 0.280 0.033 0.592
O3 O 0.408 0.720 0.967
O4 O 0.592 0.280 0.033
O5 O 0.720 0.967 0.408
O6 O 0.967 0.408 0.720
```

Properties
**Calculated total energy**: -4.679 eV/atom
**Total moment**: 0.000 μB/atom
**Energy relative to the elements, uncorrected**: -6.45 eV/f.u.
**SG**: R-3 (148)